DFT (PBE-GGA) results for a geometry-optimized DyHoAgIr structure.

Summary:
- formation energy (eV per atom) = -0.6100
- space group = No. 216
- uncorrected energy (eV per atom) = -5.833

abc: 4.9610 4.9610 4.9610
angles: 60.00 60.00 60.00
Element x y z (fractional)
Ho 0.0000 0.0000 0.0000
Dy 0.5000 0.5000 0.5000
Ag 0.2500 0.2500 0.2500
Ir 0.7500 0.7500 0.7500